1.
An optimized crystal structure of PuCd2Ga, computed with PBE.

Properties
- excess energy over the best structure of this formula in the dataset (meV per atom) = 0
- ΔH_f (0 K) (eV per atom) = -0.07
- symmetry = No. 123

a b c (Å): 4.942 4.374 4.374
angles (deg): 90.00 90.00 90.00
Fractional positions:
Cd: 0.000 0.000 0.500
Cd: 0.000 0.500 0.000
Ga: 0.500 0.000 0.000
Pu: 0.500 0.500 0.500


2.
An optimized crystal structure of PuCdGa, computed with PBE.

Properties
- ΔH_f (0 K) (eV per atom) = -0.13
- symmetry = No. 107

a b c (Å): 3.157 3.157 7.043
angles (deg): 102.95 102.95 90.00
Fractional positions:
Pu: 0.009 0.009 0.017
Cd: 0.322 0.322 0.645
Ga: 0.669 0.669 0.338